1.
First-principles (PBE-GGA) data for an optimized crystal structure of MgTl2Br4, as listed in the Alexandria database.

Results
- Energy relative to the elements, uncorrected: -1.10 eV/atom
- Energy relative to the lowest polymorph listed for this composition: 0.010 eV per atom

abc: 13.950 4.119 8.868
angles: 90.00 115.73 90.00
Positions (direct):
1 Mg 0.000 0.000 0.000
2 Mg 0.500 0.500 0.000
3 Tl 0.146 0.500 0.685
4 Tl 0.354 0.000 0.315
5 Tl 0.646 0.000 0.685
6 Tl 0.854 0.500 0.315
7 Br 0.039 0.000 0.321
8 Br 0.144 0.500 0.060
9 Br 0.356 0.000 0.940
10 Br 0.461 0.500 0.679
11 Br 0.539 0.500 0.321
12 Br 0.644 0.000 0.060
13 Br 0.856 0.500 0.940
14 Br 0.961 0.000 0.679

2.
First-principles (PBE-GGA) data for an optimized crystal structure of BaSiPb2, as listed in the Alexandria database.

Results
- Energy relative to the elements, uncorrected: -0.09 eV/atom

abc: 6.604 8.128 5.062
angles: 90.00 90.00 90.00
Positions (direct):
1 Ba 0.000 0.000 0.000
2 Ba 0.500 0.500 0.000
3 Si 0.000 0.500 0.000
4 Si 0.500 0.000 0.000
5 Pb 0.000 0.314 0.500
6 Pb 0.000 0.686 0.500
7 Pb 0.500 0.186 0.500
8 Pb 0.500 0.814 0.500

3.
First-principles (PBE-GGA) data for an optimized crystal structure of LiAgTe2N, as listed in the Alexandria database.

Results
- Energy relative to the elements, uncorrected: 0.75 eV/atom
- Energy relative to the lowest polymorph listed for this composition: 0.000 eV per atom

abc: 5.717 5.717 3.930
angles: 90.00 90.00 90.00
Positions (direct):
1 Li 0.000 0.000 0.000
2 Ag 0.500 0.500 0.500
3 Te 0.000 0.500 0.500
4 Te 0.500 0.000 0.500
5 N 0.500 0.500 0.000

4.
First-principles (PBE-GGA) data for an optimized crystal structure of CaCd2Hg10, as listed in the Alexandria database.

Results
- Calculated formation energy: -38 meV/atom

abc: 10.750 8.319 7.994
angles: 82.41 50.10 47.49
Positions (direct):
1 Ca 0.000 0.000 0.000
2 Cd 0.000 0.000 0.500
3 Cd 0.500 0.500 0.000
4 Hg 0.000 0.500 0.000
5 Hg 0.006 0.646 0.354
6 Hg 0.298 0.502 0.498
7 Hg 0.354 0.994 0.006
8 Hg 0.498 0.702 0.298
9 Hg 0.500 0.000 0.500
10 Hg 0.502 0.298 0.702
11 Hg 0.646 0.006 0.994
12 Hg 0.702 0.498 0.502
13 Hg 0.994 0.354 0.646

5.
First-principles (PBE-GGA) data for an optimized crystal structure of Dy3ScIn12, as listed in the Alexandria database.

Results
- Calculated formation energy: -380 meV/atom

abc: 4.609 4.609 18.505
angles: 90.00 90.00 90.00
Positions (direct):
1 Dy 0.000 0.000 0.000
2 Dy 0.000 0.000 0.254
3 Dy 0.000 0.000 0.746
4 Sc 0.000 0.000 0.500
5 In 0.000 0.500 0.127
6 In 0.000 0.500 0.380
7 In 0.000 0.500 0.620
8 In 0.000 0.500 0.873
9 In 0.500 0.000 0.127
10 In 0.500 0.000 0.380
11 In 0.500 0.000 0.620
12 In 0.500 0.000 0.873
13 In 0.500 0.500 0.000
14 In 0.500 0.500 0.252
15 In 0.500 0.500 0.500
16 In 0.500 0.500 0.748

For each record above, in turn, the calculated total magnetization values are 0.00 0.00 1.35 0.00 0.00 μB per cell.
For each record above, in turn, the calculated raw total energy values are -2.96 -3.78 -3.13 -0.56 -3.69 eV per atom.